First-principles (GGA-PBE) data for a relaxed La2Sb2S crystal, as listed in the Alexandria database.

Cell: 8.0087 8.0087 4.7759 Å, 90.00 90.00 90.00°
Last column: nearest neighbours and their distance in Å.
Atoms (fractional coordinates):
La (0.1830, 0.3170, 0.0000)  2 S 2.93, 2 Sb 3.24
La (0.3170, 0.8170, 0.0000)  2 S 2.93, 2 Sb 3.24
La (0.6830, 0.1830, 0.0000)  2 S 2.93, 2 Sb 3.24
La (0.8170, 0.6830, 0.0000)  2 S 2.93, 2 Sb 3.24
Sb (0.1233, 0.6233, 0.5000)  1 Sb 2.79
Sb (0.3767, 0.1233, 0.5000)  1 Sb 2.79
Sb (0.6233, 0.8767, 0.5000)  1 Sb 2.79
Sb (0.8767, 0.3767, 0.5000)  1 Sb 2.79
S (0.0000, 0.0000, 0.0000)  4 La 2.93
S (0.5000, 0.5000, 0.0000)  4 La 2.93

Calculated values
- electronic total energy (eV per atom) = -5.7160
- ΔE_f (raw) (eV per atom) = -1.27
- magnetic moment (Bohr magnetons per cell) = 0.0
- mass density (g cm⁻³) = 6.0
- D(E_F) (states/eV/f.u.) = 2.10
- symmetry = No. 127